# 1
A geometry-optimized Na4DyHf3S8 structure. Source: Alexandria via LeMat-Bulk, functional PBE.

The structure belongs to space group R-3m (No. 166, hexagonal axes); the cell edges are 7.4558, 7.4558 and 20.3284 Å and the angles 90.00°, 90.00° and 120.00°. Symmetry generates all atoms from Na at (0.0000, 0.0000, 0.0000), Na at (0.0000, 0.5000, 0.0000), Dy at (0.0000, 0.0000, 0.5000), Hf at (0.0000, 0.5000, 0.5000), S at (0.0000, 0.0000, 0.2397) and S at (0.0128, 0.5064, 0.7584).

The density is 5.327 g cm⁻³. For the total energy, the calculation gives -0.22355 hartree per atom.



# 2
A geometry-optimized Cd2NiBr structure. Source: Alexandria via LeMat-Bulk, functional PBE.

The structure belongs to space group P2/m (No. 10); the cell edges are 3.305, 3.288 and 7.856 Å and the angles 90.00°, 90.11° and 90.00°. Symmetry generates all atoms from Cd at (0.001, 0.000, 0.195), Ni at (0.500, 0.500, 0.000) and Br at (0.000, 0.500, 0.500).

The density is 7.069 g cm⁻³. For the distance to the lowest polymorph of the same formula, the calculation gives 0.0 kJ/mol of formula units. For the total energy, the calculation gives -0.08619 hartree per atom.



# 3
A geometry-optimized Cs2CdAsPt structure. Source: Alexandria via LeMat-Bulk, functional PBE.

The structure belongs to space group P4/mmm (No. 123); the cell edges are 6.996, 6.996 and 4.636 Å and the angles 90.00°, 90.00° and 90.00°. Symmetry generates all atoms from Cs at (0.000, 0.500, 0.000), Cd at (0.000, 0.000, 0.500), As at (0.500, 0.500, 0.500) and Pt at (0.500, 0.500, 0.000).

The density is 4.744 g cm⁻³. For the distance to the lowest polymorph of the same formula, the calculation gives 0.0 kJ/mol of formula units. The value obtained for the formation energy is -205 meV per atom. For the total energy, the calculation gives -0.10537 hartree per atom.



# 4
A geometry-optimized ScHg2Ir structure. Source: Alexandria via LeMat-Bulk, functional PBE.

The structure belongs to space group R-3m (No. 166, hexagonal axes); the cell edges are 3.1483, 3.1483 and 27.7627 Å and the angles 90.00°, 90.00° and 120.00°. Symmetry generates all atoms from Sc at (0.0000, 0.0000, 0.0000), Hg at (0.0000, 0.0000, 0.2466) and Ir at (0.0000, 0.0000, 0.5000).

The density is 13.344 g cm⁻³. For the distance to the lowest polymorph of the same formula, the calculation gives 182.6 kJ/mol of formula units. The value obtained for the formation energy is 191 meV per atom. For the total energy, the calculation gives -0.13809 hartree per atom.



# 5
A geometry-optimized Sr2LaPbS structure. Source: Alexandria via LeMat-Bulk, functional PBE.

The structure belongs to space group P4/mmm (No. 123); the cell edges are 5.619, 5.619 and 5.592 Å and the angles 90.00°, 90.00° and 90.00°. Symmetry generates all atoms from Sr at (0.000, 0.500, 0.000), La at (0.000, 0.000, 0.500), Pb at (0.500, 0.500, 0.500) and S at (0.000, 0.000, 0.000).

The density is 5.204 g cm⁻³. For the total energy, the calculation gives -0.15435 hartree per atom.



# 6
A geometry-optimized Ca2Sb2Te structure. Source: Alexandria via LeMat-Bulk, functional PBE.

The structure belongs to space group P4/mbm (No. 127); the cell edges are 8.458, 8.458 and 4.355 Å and the angles 90.00°, 90.00° and 90.00°. Symmetry generates all atoms from Ca at (0.182, 0.318, 0.000), Sb at (0.118, 0.618, 0.500) and Te at (0.000, 0.000, 0.500).

The density is 4.811 g cm⁻³. For the distance to the lowest polymorph of the same formula, the calculation gives 97.2 kJ/mol of formula units. For the total energy, the calculation gives -0.13915 hartree per atom.



# 7
A geometry-optimized Li2TcS structure. Source: Alexandria via LeMat-Bulk, functional PBE.

The structure belongs to space group I-42d (No. 122); the cell edges are 7.209, 7.209 and 4.515 Å and the angles 90.00°, 90.00° and 90.00°. Symmetry generates all atoms from Li at (0.194, 0.250, 0.125), Tc at (0.000, 0.000, 0.500) and S at (0.000, 0.000, 0.000).

The density is 4.075 g cm⁻³. For the total energy, the calculation gives -0.16948 hartree per atom.



# 8
A geometry-optimized LaFeP2 structure. Source: Alexandria via LeMat-Bulk, functional PBE.

The structure belongs to space group Fm-3m (No. 225); the cell edges are 6.684, 6.684 and 6.684 Å and the angles 90.00°, 90.00° and 90.00°. Symmetry generates all atoms from La at (0.000, 0.000, 0.000), Fe at (0.000, 0.000, 0.500) and P at (0.250, 0.250, 0.250).

The density is 5.710 g cm⁻³. For the distance to the lowest polymorph of the same formula, the calculation gives 237.1 kJ/mol of formula units. The value obtained for the formation energy is -255 meV per atom. For the total energy, the calculation gives -0.23180 hartree per atom.



# 9
A geometry-optimized Pu3Tl3CrS8 structure. Source: Alexandria via LeMat-Bulk, functional PBE.

The structure belongs to space group R-3m (No. 166, hexagonal axes); the cell edges are 7.8311, 7.8311 and 22.7643 Å and the angles 90.00°, 90.00° and 120.00°. Symmetry generates all atoms from Pu at (0.0000, 0.5000, 0.0000), Tl at (0.0000, 0.5000, 0.5000), Cr at (0.0000, 0.0000, 0.0000), S at (0.0000, 0.0000, 0.2676) and S at (0.0269, 0.5135, 0.7274).

The density is 6.814 g cm⁻³. For the total energy, the calculation gives -0.26638 hartree per atom.



# 10
A geometry-optimized TlGaBrCl structure. Source: Alexandria via LeMat-Bulk, functional PBE.

The structure belongs to space group R-3m (No. 166, hexagonal axes); the cell edges are 5.3679, 5.3679 and 34.7366 Å and the angles 90.00°, 90.00° and 120.00°. Symmetry generates all atoms from Tl at (0.0000, 0.0000, 0.1160), Ga at (0.0000, 0.0000, 0.2900), Br at (0.0000, 0.0000, 0.3792) and Cl at (0.0000, 0.0000, 0.2032).

The density is 4.477 g cm⁻³. For the distance to the lowest polymorph of the same formula, the calculation gives 0.0 kJ/mol of formula units. For the total energy, the calculation gives -0.10893 hartree per atom.



# 11
A geometry-optimized PaGa2Au3 structure. Source: Alexandria via LeMat-Bulk, functional PBE.

The structure belongs to space group C2/m (No. 12); the cell edges are 16.027, 4.554 and 6.766 Å and the angles 90.00°, 107.49° and 90.00°. Symmetry generates all atoms from Pa at (0.124, 0.000, 0.177), Ga at (0.011, 0.500, 0.815), Ga at (0.224, 0.000, 0.676), Au at (0.062, 0.000, 0.700), Au at (0.142, 0.500, 0.490) and Au at (0.188, 0.500, 0.936).

The density is 13.557 g cm⁻³. For the distance to the lowest polymorph of the same formula, the calculation gives 0.0 kJ/mol of formula units. The value obtained for the formation energy is -336 meV per atom. For the total energy, the calculation gives -0.16780 hartree per atom.



# 12
A geometry-optimized Er2TeAu structure. Source: Alexandria via LeMat-Bulk, functional PBE.

The structure belongs to space group R-3m (No. 166, hexagonal axes); the cell edges are 4.1114, 4.1114 and 22.4001 Å and the angles 90.00°, 90.00° and 120.00°. Symmetry generates all atoms from Er at (0.0000, 0.0000, 0.2425), Te at (0.0000, 0.0000, 0.0000) and Au at (0.0000, 0.0000, 0.5000).

The density is 10.013 g cm⁻³. For the distance to the lowest polymorph of the same formula, the calculation gives 15.5 kJ/mol of formula units. For the total energy, the calculation gives -0.18078 hartree per atom.



# 13
A geometry-optimized PaSi2Ni structure. Source: Alexandria via LeMat-Bulk, functional PBE.

The structure belongs to space group Pnma (No. 62); the cell edges are 6.491, 4.022 and 10.076 Å and the angles 90.00°, 90.00° and 90.00°. Symmetry generates all atoms from Pa at (0.163, 0.250, 0.124), Si at (0.157, 0.250, 0.826), Si at (0.180, 0.250, 0.423) and Ni at (0.002, 0.250, 0.628).

The density is 8.733 g cm⁻³. For the total energy, the calculation gives -0.26533 hartree per atom.



# 14
A geometry-optimized LiLa3Zn2 structure. Source: Alexandria via LeMat-Bulk, functional PBE.

The structure belongs to space group P4/mmm (No. 123); the cell edges are 3.832, 3.832 and 11.301 Å and the angles 90.00°, 90.00° and 90.00°. Symmetry generates all atoms from Li at (0.000, 0.000, 0.000), La at (0.500, 0.500, 0.186), La at (0.500, 0.500, 0.500) and Zn at (0.000, 0.000, 0.335).

The density is 5.548 g cm⁻³. For the distance to the lowest polymorph of the same formula, the calculation gives 1.6 kJ/mol of formula units. The value obtained for the formation energy is -188 meV per atom. For the total energy, the calculation gives -0.12478 hartree per atom.



# 15
A geometry-optimized TaBe2Au structure. Source: Alexandria via LeMat-Bulk, functional PBE.

The structure belongs to space group F-43m (No. 216); the cell edges are 6.110, 6.110 and 6.110 Å and the angles 90.00°, 90.00° and 90.00°. Symmetry generates all atoms from Ta at (0.000, 0.000, 0.000), Be at (0.000, 0.000, 0.500), Be at (0.250, 0.250, 0.250) and Au at (0.250, 0.250, 0.750).

The density is 11.532 g cm⁻³. For the distance to the lowest polymorph of the same formula, the calculation gives 159.8 kJ/mol of formula units. The value obtained for the formation energy is 342 meV per atom. For the total energy, the calculation gives -0.19490 hartree per atom.



# 16
A geometry-optimized Nd4SmDy7 structure. Source: Alexandria via LeMat-Bulk, functional PBE.

The structure belongs to space group P-1 (No. 2); the cell edges are 6.590, 6.879 and 9.121 Å and the angles 85.12°, 77.23° and 81.86°. Symmetry generates all atoms from Nd at (0.139, 0.309, 0.284), Nd at (0.337, 0.886, 0.691), Sm at (0.500, 0.500, 0.000), Dy at (0.013, 0.251, 0.950), Dy at (0.180, 0.802, 0.359), Dy at (0.313, 0.394, 0.616) and Dy at (0.500, 0.000, 0.000).

The density is 7.770 g cm⁻³. For the distance to the lowest polymorph of the same formula, the calculation gives 0.0 kJ/mol of formula units. The value obtained for the formation energy is 86 meV per atom. For the total energy, the calculation gives -0.16837 hartree per atom.



# 17
A geometry-optimized Pr3SmTe6 structure. Source: Alexandria via LeMat-Bulk, functional PBE.

The structure belongs to space group P2_1/c (No. 14); the cell edges are 7.510, 8.395 and 13.638 Å and the angles 90.00°, 122.71° and 90.00°. Symmetry generates all atoms from Pr at (0.000, 0.000, 0.000), Pr at (0.305, 0.119, 0.752), Sm at (0.500, 0.000, 0.500), Te at (0.087, 0.055, 0.253), Te at (0.245, 0.675, 0.082) and Te at (0.423, 0.178, 0.081).

The density is 6.145 g cm⁻³. For the total energy, the calculation gives -0.19050 hartree per atom.



# 18
A geometry-optimized TaWSe3 structure. Source: Alexandria via LeMat-Bulk, functional PBE.

The structure belongs to space group C2/m (No. 12); the cell edges are 6.573, 10.667 and 5.783 Å and the angles 90.00°, 90.91° and 90.00°. Symmetry generates all atoms from Ta at (0.000, 0.133, 0.000), W at (0.000, 0.125, 0.500), Se at (0.170, 0.330, 0.738) and Se at (0.244, 0.500, 0.248).

The density is 9.857 g cm⁻³. For the distance to the lowest polymorph of the same formula, the calculation gives 0.0 kJ/mol of formula units. For the total energy, the calculation gives -0.27215 hartree per atom.



# 19
A geometry-optimized NaGeOs3 structure. Source: Alexandria via LeMat-Bulk, functional PBE.

The structure belongs to space group Pm-3m (No. 221); the cell edges are 4.606, 4.606 and 4.606 Å and the angles 90.00°, 90.00° and 90.00°. Symmetry generates all atoms from Na at (0.000, 0.000, 0.000), Ge at (0.500, 0.500, 0.500) and Os at (0.000, 0.500, 0.500).

The density is 11.323 g cm⁻³. For the distance to the lowest polymorph of the same formula, the calculation gives 0.0 kJ/mol of formula units. The value obtained for the formation energy is 1698 meV per atom. For the total energy, the calculation gives -0.22885 hartree per atom.



# 20
A geometry-optimized Hf4As3S structure. Source: Alexandria via LeMat-Bulk, functional PBE.

The structure belongs to space group R-3m (No. 166, hexagonal axes); the cell edges are 3.8014, 3.8014 and 36.9556 Å and the angles 90.00°, 90.00° and 120.00°. Symmetry generates all atoms from Hf at (0.0000, 0.0000, 0.1261), Hf at (0.0000, 0.0000, 0.3691), As at (0.0000, 0.0000, 0.2523), As at (0.0000, 0.0000, 0.5000) and S at (0.0000, 0.0000, 0.0000).

The density is 10.457 g cm⁻³. For the total energy, the calculation gives -0.30201 hartree per atom.